The following is a DFT calculation (GGA-PBE) of an optimized crystal structure of Be2AgP.

abc: 4.4441 4.4441 4.4441
angles: 135.06 120.46 77.60
With the nearest neighbours (Å) after each atom.
Fractional positions:
P (0.7500, 0.2500, 0.5000)  4 Be 2.25
Be (0.9634, 0.9634, 0.0000)  2 P 2.25
Be (0.5366, 0.5366, 0.0000)  2 P 2.25
Ag (0.2500, 0.7500, 0.5000)  8 Be 2.61-2.66, 4 P 2.78

Values from the calculation:
For the energy relative to the elements, the calculation gives 421 meV per atom. As for the raw total energy: -3.5069 eV per atom. Its magnetization is 0.00 μB per atom.

The following is a DFT calculation (GGA-PBE) of an optimized crystal structure of SmTmI.

abc: 3.6967 3.6967 7.4313
angles: 104.40 104.40 90.00
With the nearest neighbours (Å) after each atom.
Fractional positions:
I (0.3298, 0.3298, 0.6597)  4 Tm 3.44, 4 Sm 3.53, 4 I 3.70
Tm (0.6693, 0.6693, 0.3387)  4 I 3.44, 4 Sm 3.51, 4 Tm 3.70
Sm (0.0008, 0.0008, 0.0016)  4 Tm 3.51, 4 I 3.53, 4 Sm 3.70

Values from the calculation:
The relative energy among the computed polymorphs comes out at 0.000 eV per atom. For the formation energy (no corrections), the calculation gives -0.407 eV per atom. As for the raw total energy: -3.9875 eV per atom. Its magnetization is 0.00 μB per atom.

The following is a DFT calculation (GGA-PBE) of an optimized crystal structure of Zr5Sn3Se.

abc: 8.6468 8.6468 6.0656
angles: 90.00 90.00 120.00
With the nearest neighbours (Å) after each atom.
Fractional positions:
Zr (0.2624, 0.2624, 0.2500)  2 Se 2.73, 3 Sn 2.95-3.02
Zr (0.7376, 0.7376, 0.7500)  2 Se 2.73, 3 Sn 2.95-3.02
Zr (0.7376, 0.0000, 0.2500)  2 Se 2.73, 3 Sn 2.95-3.02
Zr (0.2624, 0.0000, 0.7500)  2 Se 2.73, 3 Sn 2.95-3.02
Zr (0.3333, 0.6667, 0.5000)  2 Zr 3.03, 6 Sn 3.06
Zr (0.6667, 0.3333, 0.0000)  2 Zr 3.03, 6 Sn 3.06
Zr (0.6667, 0.3333, 0.5000)  2 Zr 3.03, 6 Sn 3.06
Zr (0.3333, 0.6667, 0.0000)  2 Zr 3.03, 6 Sn 3.06
Zr (0.0000, 0.2624, 0.7500)  2 Se 2.73, 3 Sn 2.95-3.02
Zr (0.0000, 0.7376, 0.2500)  2 Se 2.73, 3 Sn 2.95-3.02
Sn (0.0000, 0.3962, 0.2500)  9 Zr 2.95-3.25
Sn (0.3962, 0.3962, 0.7500)  9 Zr 2.95-3.25
Sn (0.6038, 0.0000, 0.7500)  9 Zr 2.95-3.25
Sn (0.0000, 0.6038, 0.7500)  9 Zr 2.95-3.25
Sn (0.6038, 0.6038, 0.2500)  9 Zr 2.95-3.25
Sn (0.3962, 0.0000, 0.2500)  9 Zr 2.95-3.25
Se (0.0000, 0.0000, 0.0000)  6 Zr 2.73, 2 Se 3.03
Se (0.0000, 0.0000, 0.5000)  6 Zr 2.73, 2 Se 3.03

Values from the calculation:
For the formation energy (no corrections), the calculation gives -0.793 eV per atom. As for the raw total energy: -7.2632 eV per atom. Its magnetization is 0.00 μB per atom.

The following is a DFT calculation (GGA-PBE) of an optimized crystal structure of CaErMg14.

abc: 6.6804 6.6804 8.7792
angles: 90.00 90.00 89.99
With the nearest neighbours (Å) after each atom.
Fractional positions:
Mg (0.3750, 0.3750, 0.0000)  12 Mg 3.12-3.34
Mg (0.8750, 0.8750, 0.0000)  12 Mg 3.17-3.34
Mg (0.3750, 0.8750, 0.0000)  12 Mg 3.15-3.34
Mg (0.6213, 0.6213, 0.2370)  10 Mg 3.12-3.39, 1 Er 3.28, 1 Ca 3.33
Mg (0.6214, 0.1286, 0.7631)  10 Mg 3.12-3.39, 1 Er 3.28, 1 Ca 3.33
Mg (0.8750, 0.3750, 0.0000)  12 Mg 3.15-3.34
Mg (0.3750, 0.8750, 0.5000)  8 Mg 3.30, 2 Er 3.34, 2 Ca 3.34
Mg (0.1287, 0.1287, 0.7630)  10 Mg 3.12-3.39, 1 Er 3.28, 1 Ca 3.33
Mg (0.6214, 0.1286, 0.2369)  10 Mg 3.12-3.39, 1 Er 3.28, 1 Ca 3.33
Mg (0.8750, 0.3750, 0.5000)  8 Mg 3.30, 2 Er 3.34, 2 Ca 3.34
Mg (0.1287, 0.1287, 0.2370)  10 Mg 3.12-3.39, 1 Er 3.28, 1 Ca 3.33
Mg (0.6213, 0.6213, 0.7630)  10 Mg 3.12-3.39, 1 Er 3.28, 1 Ca 3.33
Mg (0.1286, 0.6214, 0.2369)  10 Mg 3.12-3.39, 1 Er 3.28, 1 Ca 3.33
Mg (0.1286, 0.6214, 0.7631)  10 Mg 3.12-3.39, 1 Er 3.28, 1 Ca 3.33
Er (0.3750, 0.3750, 0.5000)  12 Mg 3.28-3.34
Ca (0.8750, 0.8750, 0.5000)  12 Mg 3.33-3.34

Values from the calculation:
For the energy relative to the elements, the calculation gives -18 meV per atom. As for the raw total energy: -1.8235 eV per atom. Its magnetization is 0.00 μB per atom.

The following is a DFT calculation (GGA-PBE) of an optimized crystal structure of SmZnSn.

abc: 4.2560 4.4749 4.4749
angles: 120.00 90.00 90.00
With the nearest neighbours (Å) after each atom.
Fractional positions:
Zn (0.2182, 0.3333, 0.6667)  3 Sn 2.61
Sn (0.1312, 0.0000, 0.0000)  3 Zn 2.61
Sm (0.6506, 0.6667, 0.3333)  6 Zn 3.17-3.54, 6 Sn 3.30-3.40

Values from the calculation:
For the energy relative to the elements, the calculation gives -562 meV per atom. As for the raw total energy: -3.8944 eV per atom. Its magnetization is 0.00 μB per atom.

The following is a DFT calculation (GGA-PBE) of an optimized crystal structure of KNa2Cl2.

abc: 5.0597 5.0597 9.6084
angles: 74.73 74.73 90.00
With the nearest neighbours (Å) after each atom.
Fractional positions:
K (0.0000, 0.0000, 0.0000)  10 Cl 4.99-5.44, 4 K 5.06, 8 Na 5.13
Na (0.7500, 0.2500, 0.5000)  4 Cl 2.71
Na (0.2500, 0.7500, 0.5000)  4 Cl 2.71
Cl (0.3050, 0.3050, 0.3900)  4 Na 2.71
Cl (0.6950, 0.6950, 0.6100)  4 Na 2.71

Values from the calculation:
The relative energy among the computed polymorphs comes out at 0.019 eV per atom. For the formation energy (no corrections), the calculation gives -1.272 eV per atom. As for the raw total energy: -2.7579 eV per atom. Its magnetization is 0.00 μB per atom.

The following is a DFT calculation (GGA-PBE) of an optimized crystal structure of Sc2Cu2Ge.

abc: 6.7515 6.7515 3.7475
angles: 90.00 90.00 90.00
With the nearest neighbours (Å) after each atom.
Fractional positions:
Sc (0.3281, 0.1719, 0.5000)  6 Cu 2.68-2.77
Sc (0.8281, 0.3281, 0.5000)  6 Cu 2.68-2.77
Sc (0.6719, 0.8281, 0.5000)  6 Cu 2.68-2.77
Sc (0.1719, 0.6719, 0.5000)  6 Cu 2.68-2.77
Cu (0.1274, 0.3726, 0.0000)  1 Cu 2.43, 2 Ge 2.66, 2 Sc 2.68
Cu (0.6274, 0.1274, 0.0000)  1 Cu 2.43, 2 Ge 2.66, 2 Sc 2.68
Cu (0.3726, 0.8726, 0.0000)  1 Cu 2.43, 2 Ge 2.66, 2 Sc 2.68
Cu (0.8726, 0.6274, 0.0000)  1 Cu 2.43, 2 Ge 2.66, 2 Sc 2.68
Ge (0.0000, 0.0000, 0.0000)  4 Cu 2.66
Ge (0.5000, 0.5000, 0.0000)  4 Cu 2.66

Values from the calculation:
The relative energy among the computed polymorphs comes out at 0.000 eV per atom. For the energy relative to the elements, the calculation gives -397 meV per atom. As for the raw total energy: -5.4919 eV per atom. Its magnetization is 0.00 μB per atom.

The following is a DFT calculation (GGA-PBE) of an optimized crystal structure of TbPmLuRu.

abc: 5.1847 5.1847 5.1847
angles: 60.00 60.00 60.00
With the nearest neighbours (Å) after each atom.
Fractional positions:
Pm (0.5000, 0.5000, 0.5000)  4 Ru 3.17, 4 Lu 3.17
Tb (0.0000, 0.0000, 0.0000)  4 Lu 3.17, 4 Ru 3.17
Lu (0.7500, 0.7500, 0.7500)  4 Tb 3.17, 4 Pm 3.17
Ru (0.2500, 0.2500, 0.2500)  4 Tb 3.17, 4 Pm 3.17

Values from the calculation:
For the energy relative to the elements, the calculation gives 104 meV per atom. As for the raw total energy: -5.6900 eV per atom. Its magnetization is 0.00 μB per atom.